Record 1
Here is crystalline CoPb2Br at its relaxed geometry from the Alexandria database. Energies are from PBE-GGA.

```
CoPb2Br
1.0
5.172 0.000 0.000
0.000 3.651 0.019
0.000 1.797 5.850
Co Br Pb
1 1 2
Cartesian
2.586 4.761 5.349 Co
0.000 2.965 2.625 Br
0.000 4.765 5.280 Pb
2.586 1.129 1.419 Pb
```

Summary:
Symmetry ... No. 6
M_tot ... 0.57 μB per formula unit
ΔE_f (raw) ... 0.222 eV per atom
Calculated volume ... 27.57 Å³/atom
Polymorph energy (0 for the lowest one) ... 0.500 eV/f.u.

Record 2
Here is crystalline Ac2Ge3Rh5 at its relaxed geometry from the Alexandria database. Energies are from PBE-GGA.

```
Ac2Ge3Rh5
1.0
6.085 0.000 0.000
3.043 8.206 0.534
3.043 1.793 8.026
Ac Ge Rh
4 6 10
Cartesian
6.085 1.943 5.031 Ac
9.128 4.729 7.416 Ac
3.043 5.270 1.144 Ac
6.085 8.057 3.529 Ac
4.564 0.000 0.000 Ge
6.085 5.222 6.230 Ge
3.043 3.039 4.361 Ge
6.085 4.778 2.330 Ge
1.521 0.000 0.000 Ge
9.128 6.961 4.198 Ge
6.085 0.495 1.905 Rh
7.606 2.798 2.395 Rh
4.564 2.798 2.395 Rh
7.606 7.202 6.165 Rh
7.606 5.000 4.280 Rh
4.564 7.202 6.165 Rh
6.085 9.504 6.655 Rh
9.128 8.041 8.364 Rh
3.043 1.958 0.196 Rh
4.564 5.000 4.280 Rh
```

Summary:
Symmetry ... No. 72
M_tot ... 0.00 μB per formula unit
Energy of formation from the pure elements ... -0.75 eV/atom
Calculated volume ... 19.75 Å³/atom

Record 3
Here is crystalline Ca2La3UN6 at its relaxed geometry from the Alexandria database. Energies are from PBE-GGA.

```
Ca2La3UN6
1.0
-3.504 -2.465 4.521
-1.999 -0.139 -5.897
4.485 -4.392 -0.333
Ca N U La
2 6 1 3
Cartesian
-2.501 -0.915 -2.421 Ca
-3.002 -1.689 1.045 Ca
-1.039 -5.768 0.166 N
-0.412 -1.896 1.121 N
2.236 -3.898 -0.547 N
-0.607 -5.099 -2.830 N
-3.255 -3.098 -1.162 N
0.021 -1.228 -1.875 N
0.000 0.000 0.000 U
-0.509 -3.498 -0.855 La
-1.009 -4.270 2.604 La
-0.010 -2.725 -4.313 La
```

Summary:
Symmetry ... No. 12
M_tot ... 0.00 μB per formula unit
ΔE_f (raw) ... -1.319 eV per atom
Calculated volume ... 16.66 Å³/atom